Record 1
This record from the Alexandria database describes Tl2ZnP4 after structural relaxation. The functional is PBE-GGA.

a = 6.5678 Å, b = 7.4637 Å, c = 7.3357 Å
α = 90.00°, β = 90.39°, γ = 90.00°
Positions (direct):
Tl (0.1251, 0.0000, 0.0531)
Tl (0.2298, 0.0277, 0.4754)
Tl (0.7702, 0.5277, 0.5246)
Tl (0.8749, 0.5000, 0.9469)
Zn (0.3700, 0.5256, 0.7177)
Zn (0.6300, 0.0256, 0.2823)
P (0.1739, 0.4055, 0.4776)
P (0.3276, 0.3518, 0.9970)
P (0.3412, 0.5239, 0.2484)
P (0.4059, 0.8318, 0.8165)
P (0.5941, 0.3318, 0.1835)
P (0.6588, 0.0239, 0.7516)
P (0.6724, 0.8518, 0.0030)
P (0.8261, 0.9055, 0.5224)

Summary:
Space group: P2_1 (4)
DFT formation energy in eV per formula unit: 0.5
Raw total energy in eV per cell: -54.19


Record 2
This record from the Alexandria database describes DyHo3Te4 after structural relaxation. The functional is PBE-GGA.

a = 9.2859 Å, b = 7.8695 Å, c = 8.2506 Å
α = 90.00°, β = 90.00°, γ = 90.00°
Positions (direct):
Dy (0.0000, 0.1210, 0.0000)
Dy (0.5000, 0.8790, 0.5000)
Ho (0.0000, 0.8413, 0.3673)
Ho (0.2008, 0.7116, 0.9971)
Ho (0.2992, 0.2884, 0.4971)
Ho (0.5000, 0.1587, 0.8673)
Ho (0.7008, 0.2884, 0.4971)
Ho (0.7992, 0.7116, 0.9971)
Te (0.0000, 0.2236, 0.3570)
Te (0.0000, 0.8471, 0.7404)
Te (0.2243, 0.3562, 0.8495)
Te (0.2757, 0.6438, 0.3495)
Te (0.5000, 0.1529, 0.2404)
Te (0.5000, 0.7764, 0.8570)
Te (0.7243, 0.6438, 0.3495)
Te (0.7757, 0.3562, 0.8495)

Summary:
Space group: Pmn2_1 (31)
Raw total energy in eV per cell: -76.72
ΔE_f (raw) in meV per atom: -932
E above lowest polymorph in kJ/mol of atoms: 31.04


Record 3
This record from the Alexandria database describes CdHg6Pb after structural relaxation. The functional is PBE-GGA.

a = 4.5596 Å, b = 4.5596 Å, c = 10.0516 Å
α = 90.00°, β = 90.00°, γ = 90.00°
Positions (direct):
Cd (0.0000, 0.0000, 0.0000)
Hg (0.0000, 0.5000, 0.2415)
Hg (0.0000, 0.5000, 0.7585)
Hg (0.5000, 0.0000, 0.2415)
Hg (0.5000, 0.0000, 0.7585)
Hg (0.5000, 0.5000, 0.0000)
Hg (0.5000, 0.5000, 0.5000)
Pb (0.0000, 0.0000, 0.5000)

Summary:
Space group: P4/mmm (123)
DFT formation energy in eV per formula unit: 0.2
Raw total energy in eV per cell: -6.20


Record 4
This record from the Alexandria database describes Mn2AlAu after structural relaxation. The functional is PBE-GGA.

a = 3.8435 Å, b = 3.8435 Å, c = 8.0842 Å
α = 90.00°, β = 90.00°, γ = 90.00°
Positions (direct):
Mn (0.0000, 0.0000, 0.0000)
Mn (0.0000, 0.5000, 0.2500)
Mn (0.5000, 0.0000, 0.7500)
Mn (0.5000, 0.5000, 0.5000)
Al (0.0000, 0.5000, 0.7500)
Al (0.5000, 0.0000, 0.2500)
Au (0.0000, 0.0000, 0.5000)
Au (0.5000, 0.5000, 0.0000)

Summary:
Space group: I-4m2 (119)
DFT formation energy in eV per formula unit: -0.2
Raw total energy in eV per cell: -51.02
E above lowest polymorph in kJ/mol of atoms: 8.48


Record 5
This record from the Alexandria database describes La3YAs4 after structural relaxation. The functional is PBE-GGA.

a = 8.6285 Å, b = 12.1967 Å, c = 4.3196 Å
α = 90.00°, β = 90.00°, γ = 90.00°
Positions (direct):
La (0.0000, 0.0000, 0.0000)
La (0.2500, 0.2500, 0.5000)
La (0.2500, 0.7500, 0.5000)
La (0.5000, 0.5000, 0.0000)
La (0.7500, 0.2500, 0.5000)
La (0.7500, 0.7500, 0.5000)
Y (0.0000, 0.5000, 0.0000)
Y (0.5000, 0.0000, 0.0000)
As (0.0000, 0.2543, 0.0000)
As (0.0000, 0.7457, 0.0000)
As (0.2418, 0.5000, 0.5000)
As (0.2582, 0.0000, 0.5000)
As (0.5000, 0.2457, 0.0000)
As (0.5000, 0.7543, 0.0000)
As (0.7418, 0.0000, 0.5000)
As (0.7582, 0.5000, 0.5000)

Summary:
Space group: Cmmm (65)
DFT formation energy in eV per formula unit: -12.5
Raw total energy in eV per cell: -104.61


Record 6
This record from the Alexandria database describes LiDy8Bi6 after structural relaxation. The functional is PBE-GGA.

a = 8.3051 Å, b = 8.3051 Å, c = 8.3051 Å
α = 67.43°, β = 67.43°, γ = 67.43°
Positions (direct):
Li (0.0000, 0.0000, 0.0000)
Dy (0.0919, 0.3627, 0.8149)
Dy (0.1851, 0.9081, 0.6373)
Dy (0.3319, 0.3319, 0.3319)
Dy (0.3627, 0.8149, 0.0919)
Dy (0.6373, 0.1851, 0.9081)
Dy (0.6681, 0.6681, 0.6681)
Dy (0.8149, 0.0919, 0.3627)
Dy (0.9081, 0.6373, 0.1851)
Bi (0.0779, 0.7014, 0.4574)
Bi (0.2986, 0.5426, 0.9221)
Bi (0.4574, 0.0779, 0.7014)
Bi (0.5426, 0.9221, 0.2986)
Bi (0.7014, 0.4574, 0.0779)
Bi (0.9221, 0.2986, 0.5426)

Summary:
Space group: R-3 (148)
DFT formation energy in eV per formula unit: -8.3
Raw total energy in eV per cell: -70.35


Copy entry 2 word for word.
This record from the Alexandria database describes DyHo3Te4 after structural relaxation. The functional is PBE-GGA.

a = 9.2859 Å, b = 7.8695 Å, c = 8.2506 Å
α = 90.00°, β = 90.00°, γ = 90.00°
Positions (direct):
Dy (0.0000, 0.1210, 0.0000)
Dy (0.5000, 0.8790, 0.5000)
Ho (0.0000, 0.8413, 0.3673)
Ho (0.2008, 0.7116, 0.9971)
Ho (0.2992, 0.2884, 0.4971)
Ho (0.5000, 0.1587, 0.8673)
Ho (0.7008, 0.2884, 0.4971)
Ho (0.7992, 0.7116, 0.9971)
Te (0.0000, 0.2236, 0.3570)
Te (0.0000, 0.8471, 0.7404)
Te (0.2243, 0.3562, 0.8495)
Te (0.2757, 0.6438, 0.3495)
Te (0.5000, 0.1529, 0.2404)
Te (0.5000, 0.7764, 0.8570)
Te (0.7243, 0.6438, 0.3495)
Te (0.7757, 0.3562, 0.8495)

Summary:
Space group: Pmn2_1 (31)
Raw total energy in eV per cell: -76.72
ΔE_f (raw) in meV per atom: -932
E above lowest polymorph in kJ/mol of atoms: 31.04